1.
Computed, not measured: CeEuPb after structural relaxation at the PBE-GGA level of DFT. Values from VASP.

Structure (Quantum ESPRESSO input):
```
&SYSTEM
  ibrav = 0, nat = 3, ntyp = 3
/
ATOMIC_SPECIES
Pb 207.20 Pb.upf
Ce 140.12 Ce.upf
Eu 151.96 Eu.upf
CELL_PARAMETERS angstrom
-3.982 -1.515 0.413
-0.116 -0.839 -4.196
3.920 -3.501 2.775
ATOMIC_POSITIONS angstrom
Pb -0.356 -5.410 -1.091
Ce -1.669 -2.126 -1.712
Eu 1.108 -2.771 0.524
```

Results
* mass density: 8.846 g/cm3
* formation enthalpy at 0 K: -264 meV per atom
* energy relative to the lowest polymorph listed for this composition: 0.00 kJ per mole of atoms

2.
Computed, not measured: CeEuPb2 after structural relaxation at the PBE-GGA level of DFT. Values from VASP.

Structure (Quantum ESPRESSO input):
```
&SYSTEM
  ibrav = 0, nat = 4, ntyp = 3
/
ATOMIC_SPECIES
Pb 207.20 Pb.upf
Ce 140.12 Ce.upf
Eu 151.96 Eu.upf
CELL_PARAMETERS angstrom
3.631 0.000 0.000
0.000 3.631 0.000
0.000 0.000 9.313
ATOMIC_POSITIONS angstrom
Pb 0.000 0.000 7.011
Pb 0.000 0.000 2.302
Ce 1.815 1.815 0.000
Eu 1.815 1.815 4.657
```

Results
* mass density: 9.556 g/cm3
* formation enthalpy at 0 K: -465 meV per atom
* energy relative to the lowest polymorph listed for this composition: 0.00 kJ per mole of atoms

3.
Computed, not measured: CeEuPb2 after structural relaxation at the PBE-GGA level of DFT. Values from VASP.

Structure (Quantum ESPRESSO input):
```
&SYSTEM
  ibrav = 0, nat = 4, ntyp = 3
/
ATOMIC_SPECIES
Pb 207.20 Pb.upf
Eu 151.96 Eu.upf
Ce 140.12 Ce.upf
CELL_PARAMETERS angstrom
4.578 0.000 0.000
0.000 5.177 0.000
0.000 0.000 5.177
ATOMIC_POSITIONS angstrom
Pb 0.000 0.000 2.588
Eu 2.289 0.000 0.000
Ce 2.289 2.588 2.588
Pb 0.000 2.588 0.000
```

Results
* mass density: 9.562 g/cm3
* formation enthalpy at 0 K: -454 meV per atom
* energy relative to the lowest polymorph listed for this composition: 1.06 kJ per mole of atoms

4.
Computed, not measured: CeEuPb2 after structural relaxation at the PBE-GGA level of DFT. Values from VASP.

Structure (Quantum ESPRESSO input):
```
&SYSTEM
  ibrav = 0, nat = 4, ntyp = 3
/
ATOMIC_SPECIES
Pb 207.20 Pb.upf
Eu 151.96 Eu.upf
Ce 140.12 Ce.upf
CELL_PARAMETERS angstrom
-0.807 -1.548 5.340
0.375 -5.417 1.442
4.336 -1.790 3.091
ATOMIC_POSITIONS angstrom
Pb 0.976 -2.189 2.468
Pb 2.929 -6.566 7.405
Eu 0.000 0.000 0.000
Ce 1.952 -4.378 4.937
```

Results
* mass density: 9.356 g/cm3
* formation enthalpy at 0 K: -414 meV per atom
* energy relative to the lowest polymorph listed for this composition: 4.86 kJ per mole of atoms

5.
Computed, not measured: CeEuPb after structural relaxation at the PBE-GGA level of DFT. Values from VASP.

Structure (Quantum ESPRESSO input):
```
&SYSTEM
  ibrav = 0, nat = 3, ntyp = 3
/
ATOMIC_SPECIES
Eu 151.96 Eu.upf
Ce 140.12 Ce.upf
Pb 207.20 Pb.upf
CELL_PARAMETERS angstrom
-3.448 -0.292 -0.035
0.340 -4.398 3.153
-0.439 4.917 2.243
ATOMIC_POSITIONS angstrom
Eu -0.755 1.763 2.541
Ce -0.574 -0.049 -0.006
Pb -2.218 -1.487 2.826
```

Results
* mass density: 9.410 g/cm3
* formation enthalpy at 0 K: -130 meV per atom
* energy relative to the lowest polymorph listed for this composition: 12.91 kJ per mole of atoms

6.
Computed, not measured: CePmEuPb after structural relaxation at the PBE-GGA level of DFT. Values from VASP.

Structure (Quantum ESPRESSO input):
```
&SYSTEM
  ibrav = 0, nat = 4, ntyp = 4
/
ATOMIC_SPECIES
Pm 145.00 Pm.upf
Pb 207.20 Pb.upf
Ce 140.12 Ce.upf
Eu 151.96 Eu.upf
CELL_PARAMETERS angstrom
5.648 0.000 0.000
2.824 4.891 0.000
2.824 1.630 4.611
ATOMIC_POSITIONS angstrom
Pm 8.471 4.891 3.458
Pb 2.824 1.630 1.153
Ce 5.648 3.261 2.306
Eu 0.000 0.000 0.000
```

Results
* mass density: 8.400 g/cm3
* formation enthalpy at 0 K: -63 meV per atom

What is the formula in the first record?
CeEuPb

Which formula does entry 2 have?
CeEuPb2

Look up the mass density of the third one.
9.562 g/cm3

Among the records above, which one has the lowest formation enthalpy at 0 K?
number 2